1.
! ErZrAsS (PBE, relaxed); values from VASP
&SYSTEM
  ibrav = 0, nat = 8, ntyp = 4
/
ATOMIC_SPECIES
Er 167.26 Er.upf
Zr 91.22 Zr.upf
As 74.92 As.upf
S 32.06 S.upf
CELL_PARAMETERS angstrom
2.300 1.328 10.071
-2.300 1.328 10.071
0.000 -2.656 10.071
ATOMIC_POSITIONS angstrom
Er 0.000 0.000 3.538
Er 0.000 0.000 26.676
Zr 0.000 0.000 8.985
Zr 0.000 0.000 21.228
As 0.000 0.000 11.704
As 0.000 0.000 18.510
S 0.000 0.000 6.217
S 0.000 0.000 23.997
! Total energy = -6.778 eV per atom
! Symmetry = No. 166
! Formation energy without anion corrections = -504.2 kJ/mol of formula units
! DOS(E_F) = 6.46 states/eV per cell

***

2.
! ErSbAs (PBE, relaxed); values from VASP
&SYSTEM
  ibrav = 0, nat = 6, ntyp = 3
/
ATOMIC_SPECIES
Er 167.26 Er.upf
Sb 121.76 Sb.upf
As 74.92 As.upf
CELL_PARAMETERS angstrom
2.421 1.398 8.401
-2.421 1.398 8.401
0.000 -2.796 8.401
ATOMIC_POSITIONS angstrom
Er 0.000 0.000 5.652
Er 0.000 0.000 19.552
Sb 0.000 0.000 9.089
Sb 0.000 0.000 16.115
As 0.000 0.000 2.807
As 0.000 0.000 22.397
! Total energy = -5.112 eV per atom
! Symmetry = No. 166
! Formation energy without anion corrections = -193.2 kJ/mol of formula units
! DOS(E_F) = 2.93 states/eV per cell

***

3.
! Er5Sb4As (PBE, relaxed); values from VASP
&SYSTEM
  ibrav = 0, nat = 10, ntyp = 3
/
ATOMIC_SPECIES
Er 167.26 Er.upf
Sb 121.76 Sb.upf
As 74.92 As.upf
CELL_PARAMETERS angstrom
-2.153 2.153 15.196
2.153 -2.153 15.196
2.153 2.153 -15.196
ATOMIC_POSITIONS angstrom
Er 0.000 0.000 0.000
Er 0.000 0.000 6.095
Er 0.000 0.000 12.321
Er 0.000 0.000 18.070
Er 0.000 0.000 24.296
Sb 0.000 0.000 3.024
Sb 0.000 0.000 9.181
Sb 0.000 0.000 21.210
Sb 0.000 0.000 27.367
As 0.000 0.000 15.196
! Total energy = -5.554 eV per atom
! Symmetry = No. 139
! Formation energy without anion corrections = -1117.6 kJ/mol of formula units
! DOS(E_F) = 1.25 states/eV per cell

***

4.
! Er6Sb2As (PBE, relaxed); values from VASP
&SYSTEM
  ibrav = 0, nat = 18, ntyp = 3
/
ATOMIC_SPECIES
Er 167.26 Er.upf
Sb 121.76 Sb.upf
As 74.92 As.upf
CELL_PARAMETERS angstrom
6.356 0.000 0.000
0.000 8.013 0.000
-6.110 0.000 9.867
ATOMIC_POSITIONS angstrom
Er -2.200 1.493 4.437
Er -5.255 2.513 9.370
Er -0.744 5.401 4.429
Er -3.799 6.619 9.362
Er 0.864 0.231 2.259
Er -2.191 3.776 7.192
Er 2.437 4.237 2.675
Er -0.618 7.782 7.608
Er 4.045 1.394 0.504
Er 0.990 2.612 5.438
Er 5.501 5.500 0.497
Er 2.446 6.520 5.430
Sb -3.504 0.945 7.366
Sb -0.449 3.062 2.432
Sb 0.696 4.951 7.434
Sb 3.750 7.068 2.501
As 0.123 0.000 4.933
As 3.178 4.006 0.000
! Total energy = -5.254 eV per atom
! Symmetry = No. 14
! Formation energy without anion corrections = -676.6 kJ/mol of formula units
! DOS(E_F) = 17.74 states/eV per cell

***

5.
! Er4Sb3As (PBE, relaxed); values from VASP
&SYSTEM
  ibrav = 0, nat = 8, ntyp = 3
/
ATOMIC_SPECIES
Er 167.26 Er.upf
Sb 121.76 Sb.upf
As 74.92 As.upf
CELL_PARAMETERS angstrom
4.299 -6.063 0.000
4.299 6.063 0.000
0.000 0.000 4.277
ATOMIC_POSITIONS angstrom
Er 2.047 0.000 2.139
Er 4.299 3.109 0.000
Er 4.299 -3.109 0.000
Er 6.551 0.000 2.139
Sb 2.150 3.032 2.139
Sb 2.150 -3.032 2.139
Sb 4.299 0.000 0.000
As 0.000 0.000 0.000
! Total energy = -5.587 eV per atom
! Symmetry = No. 65
! Formation energy without anion corrections = -909.4 kJ/mol of formula units
! DOS(E_F) = 1.09 states/eV per cell
! Offset from the most stable computed form = 0 meV/atom

***

6.
! Er5Sb2As2 (PBE, relaxed); values from VASP
&SYSTEM
  ibrav = 0, nat = 18, ntyp = 3
/
ATOMIC_SPECIES
Er 167.26 Er.upf
Sb 121.76 Sb.upf
As 74.92 As.upf
CELL_PARAMETERS angstrom
7.454 -3.895 0.000
7.454 3.895 0.000
0.000 0.000 7.871
ATOMIC_POSITIONS angstrom
Er 0.000 0.000 0.000
Er 5.547 2.666 5.186
Er 5.547 1.229 1.250
Er 9.362 2.666 5.186
Er 9.362 1.229 1.250
Er 7.454 0.000 3.936
Er 5.547 -1.229 6.621
Er 5.547 -2.666 2.686
Er 9.362 -1.229 6.621
Er 9.362 -2.666 2.686
Sb 3.016 0.000 0.000
Sb 4.439 0.000 3.936
Sb 10.470 0.000 3.936
Sb 11.893 0.000 0.000
As 7.454 2.756 2.801
As 7.454 1.140 6.737
As 7.454 -1.140 1.135
As 7.454 -2.756 5.070
! Total energy = -5.592 eV per atom
! Symmetry = No. 64
! Formation energy without anion corrections = -962.1 kJ/mol of formula units
! DOS(E_F) = 16.69 states/eV per cell

***

7.
! Er4Sb3As (PBE, relaxed); values from VASP
&SYSTEM
  ibrav = 0, nat = 8, ntyp = 3
/
ATOMIC_SPECIES
Er 167.26 Er.upf
Sb 121.76 Sb.upf
As 74.92 As.upf
CELL_PARAMETERS angstrom
6.066 0.000 0.000
0.000 6.066 0.000
0.000 0.000 6.066
ATOMIC_POSITIONS angstrom
Er 0.000 0.000 0.000
Er 0.000 3.033 3.033
Er 3.033 0.000 3.033
Er 3.033 3.033 0.000
Sb 0.000 0.000 3.033
Sb 0.000 3.033 0.000
Sb 3.033 0.000 0.000
As 3.033 3.033 3.033
! Total energy = -5.573 eV per atom
! Symmetry = No. 221
! Formation energy without anion corrections = -898.9 kJ/mol of formula units
! DOS(E_F) = 0.60 states/eV per cell
! Offset from the most stable computed form = 14 meV/atom

***

8.
! Er3SbAs2 (PBE, relaxed); values from VASP
&SYSTEM
  ibrav = 0, nat = 6, ntyp = 3
/
ATOMIC_SPECIES
Er 167.26 Er.upf
Sb 121.76 Sb.upf
As 74.92 As.upf
CELL_PARAMETERS angstrom
-2.075 2.961 6.280
2.075 -2.961 6.280
2.075 2.961 -6.280
ATOMIC_POSITIONS angstrom
Er 0.000 0.000 0.000
Er 0.000 0.000 4.045
Er 0.000 0.000 8.514
Sb 0.000 2.961 0.000
As 2.075 0.000 2.060
As 0.000 2.961 4.219
! Total energy = -5.869 eV per atom
! Symmetry = No. 71
! Formation energy without anion corrections = -781.8 kJ/mol of formula units
! DOS(E_F) = 1.07 states/eV per cell